No. 1
A relaxed structure of Pm12Ni5Ag, computed with PBE.

Cell: 9.453 9.903 10.142 Å, 90.00 90.00 90.00°
Space group Immm (No. 71)
One atom of each set of equivalent atoms:
Pm  0.000  0.191  0.210 [8 per cell]
Pm  0.197  0.500  0.175 [8 per cell]
Pm  0.203  0.322  0.500 [8 per cell]
Ni  0.000  0.000  0.000 [2 per cell]
Ni  0.000  0.366  0.000 [4 per cell]
Ni  0.000  0.500  0.374 [4 per cell]
Ag  0.000  0.000  0.500 [2 per cell]

## Properties
calculated volume	26.4	Å³ per atom
formation enthalpy at 0 K	-225.7	meV/atom

No. 2
A relaxed structure of PmPuNiAg, computed with PBE.

Cell: 7.153 7.153 7.153 Å, 90.00 90.00 90.00°
Space group F-43m (No. 216)
One atom of each set of equivalent atoms:
Pm  0.000  0.000  0.000 [4 per cell]
Pu  0.000  0.000  0.500 [4 per cell]
Ni  0.250  0.250  0.250 [4 per cell]
Ag  0.250  0.250  0.750 [4 per cell]

## Properties
calculated volume	22.9	Å³ per atom
formation enthalpy at 0 K	-18.7	meV/atom

No. 3
A relaxed structure of PmNiAgRh, computed with PBE.

Cell: 6.612 6.612 6.612 Å, 90.00 90.00 90.00°
Space group F-43m (No. 216)
One atom of each set of equivalent atoms:
Pm  0.000  0.000  0.000 [4 per cell]
Ni  0.250  0.250  0.750 [4 per cell]
Ag  0.000  0.000  0.500 [4 per cell]
Rh  0.250  0.250  0.250 [4 per cell]

## Properties
calculated volume	18.1	Å³ per atom
formation enthalpy at 0 K	-169.7	meV/atom

No. 4
A relaxed structure of Pm2Ni3AgSb4, computed with PBE.

Cell: 4.517 4.517 10.339 Å, 90.00 90.00 90.00°
Space group P-4m2 (No. 115)
One atom of each set of equivalent atoms:
Pm  0.000  0.500  0.249 [2 per cell]
Ni  0.000  0.500  0.882 [2 per cell]
Ni  0.500  0.500  0.500 [1 per cell]
Ag  0.000  0.000  0.500 [1 per cell]
Sb  0.000  0.000  0.000 [1 per cell]
Sb  0.000  0.500  0.642 [2 per cell]
Sb  0.500  0.500  0.000 [1 per cell]

## Properties
total energy	-51.65	eV/cell
calculated volume	21.1	Å³ per atom

No. 5
A relaxed structure of PmNiAgSb, computed with PBE.

Cell: 6.904 6.904 6.904 Å, 90.00 90.00 90.00°
Space group F-43m (No. 216)
One atom of each set of equivalent atoms:
Pm  0.000  0.000  0.000 [4 per cell]
Ni  0.250  0.250  0.250 [4 per cell]
Ag  0.250  0.250  0.750 [4 per cell]
Sb  0.000  0.000  0.500 [4 per cell]

## Properties
total energy	-75.02	eV/cell
calculated volume	20.6	Å³ per atom

No. 6
A relaxed structure of Pm2Ni3AgSn4, computed with PBE.

Cell: 4.476 4.476 10.467 Å, 90.00 90.00 90.00°
Space group P-4m2 (No. 115)
One atom of each set of equivalent atoms:
Pm  0.000  0.500  0.250 [2 per cell]
Ni  0.000  0.000  0.000 [1 per cell]
Ni  0.000  0.500  0.620 [2 per cell]
Ag  0.500  0.500  0.000 [1 per cell]
Sn  0.000  0.000  0.500 [1 per cell]
Sn  0.000  0.500  0.857 [2 per cell]
Sn  0.500  0.500  0.500 [1 per cell]

## Properties
calculated volume	21.0	Å³ per atom
formation enthalpy at 0 K	-480.6	meV/atom

No. 7
A relaxed structure of PmNiAgSn, computed with PBE.

Cell: 6.870 6.870 6.870 Å, 90.00 90.00 90.00°
Space group F-43m (No. 216)
One atom of each set of equivalent atoms:
Pm  0.000  0.000  0.000 [4 per cell]
Ni  0.250  0.250  0.750 [4 per cell]
Ag  0.250  0.250  0.250 [4 per cell]
Sn  0.000  0.000  0.500 [4 per cell]

## Properties
calculated volume	20.3	Å³ per atom
formation enthalpy at 0 K	-350.3	meV/atom

No. 8
A relaxed structure of SrPmNiAg, computed with PBE.

Cell: 7.359 7.359 7.359 Å, 90.00 90.00 90.00°
Space group F-43m (No. 216)
One atom of each set of equivalent atoms:
Sr  0.000  0.000  0.000 [4 per cell]
Pm  0.000  0.000  0.500 [4 per cell]
Ni  0.250  0.250  0.250 [4 per cell]
Ag  0.250  0.250  0.750 [4 per cell]

## Properties
calculated volume	24.9	Å³ per atom
formation enthalpy at 0 K	-82.9	meV/atom

No. 9
A relaxed structure of TbPmNiAg, computed with PBE.

Cell: 7.147 7.147 7.147 Å, 90.00 90.00 90.00°
Space group F-43m (No. 216)
One atom of each set of equivalent atoms:
Tb  0.000  0.000  0.000 [4 per cell]
Pm  0.000  0.000  0.500 [4 per cell]
Ni  0.250  0.250  0.250 [4 per cell]
Ag  0.250  0.250  0.750 [4 per cell]

## Properties
calculated volume	22.8	Å³ per atom
formation enthalpy at 0 K	-260.9	meV/atom

No. 10
A relaxed structure of PmThNiAg, computed with PBE.

Cell: 7.246 7.246 7.246 Å, 90.00 90.00 90.00°
Space group F-43m (No. 216)
One atom of each set of equivalent atoms:
Pm  0.000  0.000  0.000 [4 per cell]
Th  0.000  0.000  0.500 [4 per cell]
Ni  0.250  0.250  0.750 [4 per cell]
Ag  0.250  0.250  0.250 [4 per cell]

## Properties
calculated volume	23.8	Å³ per atom
formation enthalpy at 0 K	-135.9	meV/atom

No. 11
A relaxed structure of PmTlNiAg, computed with PBE.

Cell: 6.949 6.949 6.949 Å, 90.00 90.00 90.00°
Space group F-43m (No. 216)
One atom of each set of equivalent atoms:
Pm  0.000  0.000  0.000 [4 per cell]
Tl  0.000  0.000  0.500 [4 per cell]
Ni  0.250  0.250  0.250 [4 per cell]
Ag  0.250  0.250  0.750 [4 per cell]

## Properties
calculated volume	21.0	Å³ per atom
formation enthalpy at 0 K	-124.5	meV/atom

No. 12
A relaxed structure of PmTmNiAg, computed with PBE.

Cell: 7.083 7.083 7.083 Å, 90.00 90.00 90.00°
Space group F-43m (No. 216)
One atom of each set of equivalent atoms:
Pm  0.000  0.000  0.000 [4 per cell]
Tm  0.000  0.000  0.500 [4 per cell]
Ni  0.250  0.250  0.250 [4 per cell]
Ag  0.250  0.250  0.750 [4 per cell]

## Properties
calculated volume	22.2	Å³ per atom
formation enthalpy at 0 K	-284.7	meV/atom

No. 13
A relaxed structure of PmYNiAg, computed with PBE.

Cell: 7.145 7.145 7.145 Å, 90.00 90.00 90.00°
Space group F-43m (No. 216)
One atom of each set of equivalent atoms:
Pm  0.000  0.000  0.000 [4 per cell]
Y  0.000  0.000  0.500 [4 per cell]
Ni  0.250  0.250  0.250 [4 per cell]
Ag  0.250  0.250  0.750 [4 per cell]

## Properties
calculated volume	22.8	Å³ per atom
formation enthalpy at 0 K	-265.5	meV/atom

No. 14
A relaxed structure of Pr7Ni2Ag2, computed with PBE.

Cell: 7.863 11.659 7.198 Å, 90.00 90.00 90.00°
Space group Cmmm (No. 65)
One atom of each set of equivalent atoms:
Pr  0.000  0.000  0.000 [2 per cell]
Pr  0.000  0.500  0.242 [4 per cell]
Pr  0.250  0.250  0.254 [8 per cell]
Ni  0.000  0.303  0.000 [4 per cell]
Ag  0.174  0.000  0.500 [4 per cell]

## Properties
calculated volume	30.0	Å³ per atom
formation enthalpy at 0 K	-67.3	meV/atom

No. 15
A relaxed structure of PrNiAg, computed with PBE.

Cell: 4.4808 4.4808 3.7639 Å, 90.00 90.00 120.00°
Space group P-6m2 (No. 187)
One atom of each set of equivalent atoms:
Pr  0.0000  0.0000  0.0000 [1 per cell]
Ni  0.3333  0.6667  0.5000 [1 per cell]
Ag  0.6667  0.3333  0.5000 [1 per cell]

## Properties
calculated volume	21.8	Å³ per atom
formation enthalpy at 0 K	-179.8	meV/atom
energy relative to the lowest polymorph listed for this composition	113.3	meV per atom

No. 16
A relaxed structure of Pr2Ni2Ag, computed with PBE.

Cell: 4.014 14.177 3.847 Å, 90.00 90.00 90.00°
Space group Cmmm (No. 65)
One atom of each set of equivalent atoms:
Pr  0.000  0.134  0.000 [4 per cell]
Ni  0.000  0.299  0.500 [4 per cell]
Ag  0.000  0.500  0.500 [2 per cell]

## Properties
calculated volume	21.9	Å³ per atom
formation enthalpy at 0 K	-312.4	meV/atom

No. 17
A relaxed structure of Pr4NiAg, computed with PBE.

Cell: 7.107 7.400 7.224 Å, 90.00 96.20 90.00°
Space group P2_1/c (No. 14)
One atom of each set of equivalent atoms:
Pr  0.159  0.171  0.195 [4 per cell]
Pr  0.323  0.653  0.118 [4 per cell]
Ni  0.000  0.000  0.500 [2 per cell]
Ag  0.500  0.000  0.000 [2 per cell]

## Properties
calculated volume	31.5	Å³ per atom
formation enthalpy at 0 K	-53.8	meV/atom
energy relative to the lowest polymorph listed for this composition	92.9	meV per atom

No. 18
A relaxed structure of PrNi4Ag, computed with PBE.

Cell: 7.117 7.117 7.117 Å, 90.00 90.00 90.00°
Space group F-43m (No. 216)
One atom of each set of equivalent atoms:
Pr  0.000  0.000  0.000 [4 per cell]
Ni  0.124  0.124  0.376 [16 per cell]
Ag  0.250  0.250  0.750 [4 per cell]

## Properties
calculated volume	15.0	Å³ per atom
formation enthalpy at 0 K	-186.5	meV/atom

No. 19
A relaxed structure of Pr4Ni2Ag5, computed with PBE.

Cell: 7.430 4.011 8.775 Å, 90.00 93.93 90.00°
Space group P2/m (No. 10)
One atom of each set of equivalent atoms:
Pr  0.197  0.000  0.351 [2 per cell]
Pr  0.231  0.000  0.918 [2 per cell]
Ni  0.070  0.500  0.129 [2 per cell]
Ag  0.153  0.500  0.634 [2 per cell]
Ag  0.444  0.500  0.164 [2 per cell]
Ag  0.500  0.500  0.500 [1 per cell]

## Properties
calculated volume	23.7	Å³ per atom
formation enthalpy at 0 K	-250.6	meV/atom

No. 20
A relaxed structure of Pr8NiAg2, computed with PBE.

Cell: 18.221 5.275 7.078 Å, 90.00 101.70 90.00°
Space group C2/m (No. 12)
One atom of each set of equivalent atoms:
Pr  0.023  0.000  0.280 [4 per cell]
Pr  0.088  0.500  0.945 [4 per cell]
Pr  0.155  0.500  0.472 [4 per cell]
Pr  0.202  0.000  0.824 [4 per cell]
Ni  0.000  0.500  0.500 [2 per cell]
Ag  0.190  0.000  0.243 [4 per cell]

## Properties
calculated volume	30.3	Å³ per atom
formation enthalpy at 0 K	-89.2	meV/atom
energy relative to the lowest polymorph listed for this composition	0.0	meV per atom

No. 21
A relaxed structure of Pr8NiAg2, computed with PBE.

Cell: 7.648 16.626 6.353 Å, 90.00 121.76 90.00°
Space group Cm (No. 8)
One atom of each set of equivalent atoms:
Pr  0.000  0.000  0.000 [2 per cell]
Pr  0.011  0.112  0.507 [4 per cell]
Pr  0.036  0.500  0.388 [2 per cell]
Pr  0.058  0.385  0.874 [4 per cell]
Pr  0.279  0.197  0.178 [4 per cell]
Ni  0.284  0.000  0.872 [2 per cell]
Ag  0.279  0.278  0.677 [4 per cell]

## Properties
calculated volume	31.2	Å³ per atom
formation enthalpy at 0 K	-70.2	meV/atom
energy relative to the lowest polymorph listed for this composition	19.0	meV per atom

No. 22
A relaxed structure of PrNiAg, computed with PBE.

Cell: 12.424 4.085 5.174 Å, 90.00 101.90 90.00°
Space group C2/m (No. 12)
One atom of each set of equivalent atoms:
Pr  0.126  0.000  0.310 [4 per cell]
Ni  0.231  0.000  0.865 [4 per cell]
Ag  0.082  0.500  0.770 [4 per cell]

## Properties
calculated volume	21.4	Å³ per atom
formation enthalpy at 0 K	-244.6	meV/atom
energy relative to the lowest polymorph listed for this composition	48.5	meV per atom

No. 23
A relaxed structure of Pr8Ni2Ag, computed with PBE.

Cell: 8.576 13.765 5.805 Å, 90.00 105.88 90.00°
Space group C2/m (No. 12)
One atom of each set of equivalent atoms:
Pr  0.000  0.240  0.000 [4 per cell]
Pr  0.113  0.500  0.812 [4 per cell]
Pr  0.212  0.126  0.576 [8 per cell]
Ni  0.000  0.295  0.500 [4 per cell]
Ag  0.000  0.000  0.000 [2 per cell]

## Properties
calculated volume	30.0	Å³ per atom
formation enthalpy at 0 K	-38.3	meV/atom

No. 24
A relaxed structure of PrNiAg, computed with PBE.

Cell: 3.814 17.018 3.922 Å, 90.00 90.00 90.00°
Space group Cmcm (No. 63)
One atom of each set of equivalent atoms:
Pr  0.000  0.102  0.250 [4 per cell]
Ni  0.000  0.459  0.250 [4 per cell]
Ag  0.000  0.291  0.250 [4 per cell]

## Properties
calculated volume	21.2	Å³ per atom
formation enthalpy at 0 K	-293.1	meV/atom
energy relative to the lowest polymorph listed for this composition	0.0	meV per atom

No. 25
A relaxed structure of PrNiAg, computed with PBE.

Cell: 6.536 6.536 6.536 Å, 90.00 90.00 90.00°
Space group F-43m (No. 216)
One atom of each set of equivalent atoms:
Pr  0.000  0.000  0.000 [4 per cell]
Ni  0.250  0.250  0.750 [4 per cell]
Ag  0.000  0.000  0.500 [4 per cell]

## Properties
calculated volume	23.3	Å³ per atom
formation enthalpy at 0 K	-103.7	meV/atom
energy relative to the lowest polymorph listed for this composition	189.3	meV per atom

No. 26
A relaxed structure of Pr2Ni9Ag, computed with PBE.

Cell: 4.9908 4.9908 24.5075 Å, 90.00 90.00 120.00°
Space group R-3m (No. 166, hexagonal axes)
One atom of each set of equivalent atoms:
Pr  0.0000  0.0000  0.1336 [6 per cell]
Ni  0.0000  0.0000  0.3326 [6 per cell]
Ni  0.0000  0.0000  0.5000 [3 per cell]
Ni  0.0009  0.5004  0.0793 [18 per cell]
Ag  0.0000  0.0000  0.0000 [3 per cell]

## Properties
calculated volume	14.7	Å³ per atom
formation enthalpy at 0 K	-95.1	meV/atom